Entry 1:
TaTi12Sn6 | GGA-PBE | optimized geometry

Unit cell a=10.2220 b=10.2220 c=11.9326 alpha=90.00 beta=90.00 gamma=120.00
Last column: nearest neighbours and their distance in Å.
Space group R-3 (No. 148, hexagonal axes)
Unique sites:
Ta  0.0000  0.0000  0.0000  6 Ti 2.81, 6 Sn 2.95
Ti  0.0454  0.8672  0.8091  4 Ti 2.77-2.94, 1 Ta 2.81, 4 Sn 2.92-3.07
Ti  0.0602  0.2013  0.4093  4 Ti 2.77-3.07, 4 Sn 2.78-3.00
Sn  0.0210  0.5929  0.7141  9 Ti 2.78-3.11, 1 Ta 2.95, 2 Sn 3.10

Summary:
Energy of formation from the pure elements: -141.1 meV/atom

=====

Entry 2:
KSrMoH2 | GGA-PBE | optimized geometry

Unit cell a=4.7714 b=4.7714 c=8.5838 alpha=90.00 beta=90.00 gamma=90.00
Last column: nearest neighbours and their distance in Å.
Space group P4/mmm (No. 123)
Unique sites:
K  0.0000  0.0000  0.0000  4 Mo 3.37
Sr  0.0000  0.0000  0.5000  4 H 2.39
Mo  0.5000  0.5000  0.0000  4 K 3.37
H  0.0000  0.5000  0.5000  2 Sr 2.39

Summary:
DFT total energy: -14.94 eV per cell

=====

Entry 3:
Sn3BiCl | GGA-PBE | optimized geometry

Unit cell a=6.0038 b=6.0038 c=6.0038 alpha=90.00 beta=90.00 gamma=90.00
Last column: nearest neighbours and their distance in Å.
Space group Pm-3m (No. 221)
Unique sites:
Sn  0.0000  0.0000  0.5000  2 Bi 3.00
Bi  0.0000  0.0000  0.0000  6 Sn 3.00
Cl  0.5000  0.5000  0.5000  12 Sn 4.25

Summary:
Raw formation energy: 2.83 eV per formula unit
E above lowest polymorph: 240 meV/atom

=====

Entry 4:
LiTmInBi | GGA-PBE | optimized geometry

Unit cell a=7.4516 b=7.4516 c=7.4516 alpha=90.00 beta=90.00 gamma=90.00
Last column: nearest neighbours and their distance in Å.
Space group F-43m (No. 216)
Unique sites:
Li  0.0000  0.0000  0.0000  4 In 3.23, 4 Bi 3.23
Tm  0.0000  0.0000  0.5000  4 Bi 3.23, 4 In 3.23
In  0.2500  0.2500  0.7500  4 Tm 3.23, 4 Li 3.23
Bi  0.2500  0.2500  0.2500  4 Li 3.23, 4 Tm 3.23

Summary:
Energy of formation from the pure elements: -322.9 meV/atom

=====

Entry 5:
ThScTlZn | GGA-PBE | optimized geometry

Unit cell a=3.5290 b=3.5290 c=7.7155 alpha=90.00 beta=90.00 gamma=90.00
Last column: nearest neighbours and their distance in Å.
Space group P4mm (No. 99)
Unique sites:
Th  0.0000  0.0000  0.0000  4 Zn 3.20, 4 Tl 3.43, 1 Sc 3.51, 4 Th 3.53
Sc  0.0000  0.0000  0.5447  4 Zn 2.92, 4 Tl 3.11
Tl  0.5000  0.5000  0.3044  4 Sc 3.11, 1 Zn 3.36, 4 Th 3.43
Zn  0.5000  0.5000  0.7403  4 Sc 2.92, 4 Th 3.20

Summary:
Energy of formation from the pure elements: -238.5 meV/atom
E above lowest polymorph: 0 meV/atom

=====

Entry 6:
AcCoSn | GGA-PBE | optimized geometry

Unit cell a=4.4743 b=4.4743 c=4.5581 alpha=90.00 beta=90.00 gamma=120.00
Last column: nearest neighbours and their distance in Å.
Space group P-6m2 (No. 187)
Unique sites:
Ac  0.0000  0.0000  0.0000  6 Sn 3.44, 6 Co 3.44
Co  0.3333  0.6667  0.5000  3 Sn 2.58
Sn  0.6667  0.3333  0.5000  3 Co 2.58

Summary:
Energy of formation from the pure elements: -292.6 meV/atom
E above lowest polymorph: 0 meV/atom

=====

Entry 7:
Pm4Y5Tl | GGA-PBE | optimized geometry

Unit cell a=3.6327 b=3.6327 c=24.4761 alpha=90.00 beta=90.00 gamma=90.00
Last column: nearest neighbours and their distance in Å.
Space group P4/mmm (No. 123)
Unique sites:
Pm  0.0000  0.0000  0.1033  8 Y 3.60-3.61, 4 Pm 3.63
Pm  0.0000  0.0000  0.3118  8 Y 3.60-3.64, 4 Pm 3.63
Y  0.5000  0.5000  0.0000  8 Pm 3.60, 4 Y 3.63
Y  0.5000  0.5000  0.2066  8 Pm 3.61-3.64, 4 Y 3.63
Y  0.5000  0.5000  0.4151  4 Tl 3.30, 4 Pm 3.60, 4 Y 3.63
Tl  0.0000  0.0000  0.5000  8 Y 3.30, 4 Tl 3.63

Summary:
Energy of formation from the pure elements: -66.0 meV/atom
E above lowest polymorph: 0 meV/atom

=====

Entry 8:
PrEr4Ag | GGA-PBE | optimized geometry

Unit cell a=3.5660 b=3.5660 c=13.8061 alpha=90.00 beta=90.00 gamma=90.00
Last column: nearest neighbours and their distance in Å.
Space group P4/mmm (No. 123)
Unique sites:
Pr  0.0000  0.0000  0.0000  4 Pr 3.57, 8 Er 3.60
Er  0.0000  0.0000  0.3656  4 Ag 3.13
Er  0.5000  0.5000  0.1856  8 Er 3.54-3.57, 4 Pr 3.60
Ag  0.5000  0.5000  0.5000  8 Er 3.13

Summary:
Energy of formation from the pure elements: -74.5 meV/atom
E above lowest polymorph: 0 meV/atom

=====

Entry 9:
RbTe8P2Pd | GGA-PBE | optimized geometry

Unit cell a=6.3293 b=6.3293 c=37.6323 alpha=90.00 beta=90.00 gamma=120.00
Last column: nearest neighbours and their distance in Å.
Space group R-3 (No. 148, hexagonal axes)
Unique sites:
Rb  0.0000  0.0000  0.0000  6 Te 3.82
Te  0.0000  0.0000  0.3035  1 P 2.41
Te  0.0259  0.6288  0.7859  1 P 2.62, 1 Pd 2.76
P  0.0000  0.0000  0.2396  4 Te 2.41-2.62
Pd  0.0000  0.0000  0.5000  6 Te 2.76

Summary:
Raw formation energy: -0.68 eV per formula unit

=====

Entry 10:
K2SiF7 | GGA-PBE | optimized geometry

Unit cell a=13.8981 b=5.5414 c=10.3344 alpha=90.00 beta=123.44 gamma=90.00
Last column: nearest neighbours and their distance in Å.
Space group C2/c (No. 15)
Unique sites:
K  0.1608  0.1385  0.0650  7 F 2.67-2.86
Si  0.0000  0.3079  0.2500  5 F 1.63-1.70
F  0.0000  0.0007  0.2500  1 Si 1.70
F  0.0305  0.2882  0.4317  1 Si 1.69
F  0.1119  0.4800  0.3058  1 Si 1.63
F  0.1934  0.0109  0.3365  1 F 2.32

Summary:
Raw formation energy: -26.75 eV per formula unit

=====

Entry 11:
Sr2Ac3SmTe6 | GGA-PBE | optimized geometry

Unit cell a=8.0633 b=13.9792 c=8.1676 alpha=90.00 beta=109.29 gamma=90.00
Last column: nearest neighbours and their distance in Å.
Space group C2/m (No. 12)
Unique sites:
Sr  0.0000  0.1656  0.0000  6 Te 3.28-3.31
Ac  0.0000  0.0000  0.5000  6 Te 3.34-3.38
Ac  0.0000  0.3275  0.5000  6 Te 3.35-3.36
Sm  0.0000  0.5000  0.0000  6 Te 3.20-3.24
Te  0.2415  0.3372  0.2367  1 Sm 3.20, 2 Sr 3.28-3.29, 3 Ac 3.34-3.36
Te  0.2433  0.5000  0.7544  1 Sm 3.24, 2 Sr 3.31, 3 Ac 3.36-3.38

Summary:
Raw formation energy: -18.38 eV per formula unit

=====

Entry 12:
Mg3H12SeO9 | GGA-PBE | optimized geometry

Unit cell a=4.8980 b=6.6987 c=9.8912 alpha=76.42 beta=79.00 gamma=71.51
Last column: nearest neighbours and their distance in Å.
Space group P1 (No. 1)
Unique sites:
Mg  0.0000  0.0000  0.0000  3 O 1.96-1.98
Mg  0.1839  0.5208  0.8606  3 O 1.92-1.96
Mg  0.3894  0.7838  0.5311  4 O 1.94-2.03
H  0.1185  0.6194  0.0949  1 O 0.98
H  0.1269  0.8962  0.2814  1 O 1.06
H  0.3276  0.3695  0.2851  1 O 1.01
H  0.3925  0.6777  0.3011  1 O 0.98
H  0.4601  0.1758  0.4608  1 O 1.02
H  0.4698  0.0934  0.6293  1 O 1.00
H  0.6537  0.1948  0.2580  1 O 1.03
H  0.7553  0.8939  0.2364  1 O 0.98
H  0.7679  0.4394  0.5937  1 O 0.98
H  0.8341  0.4285  0.2774  1 O 0.99
H  0.9123  0.5323  0.3862  1 O 1.04
H  0.9781  0.6444  0.6289  1 O 1.01
Se  0.5886  0.1409  0.8283  1 O 1.90
O  0.1132  0.6825  0.6770  1 H 1.01
O  0.1593  0.6909  0.9976  1 H 0.98
O  0.2104  0.2165  0.9284  1 Se 1.90, 2 Mg 1.96
O  0.3149  0.8162  0.3314  2 H 0.98-1.06
O  0.4047  0.0707  0.5461  2 H 1.00-1.02
O  0.5312  0.3170  0.3103  2 H 1.01-1.03
O  0.7750  0.5782  0.5363  1 H 0.98
O  0.8676  0.9973  0.2021  1 H 0.98
O  0.9754  0.5016  0.2851  2 H 0.99-1.04

Summary:
DFT total energy: -125.42 eV per cell